First-principles (PBE-GGA) data for an optimized crystal structure of TiTlSeN2, as listed in Alexandria via LeMat-Bulk.

Computed properties:
SG: P4/mmm, No. 123
Formation energy (no corrections), eV per formula unit: 8.52
Energy above the lowest structure with this stoichiometry, eV/atom: 1.5183

Lattice parameters (Å, degrees): 4.137 4.137 5.601 90.00 90.00 90.00
Sites, in units of the cell vectors:
N (0.000, 0.500, 0.000)
N (0.500, 0.000, 0.000)
Ti (0.500, 0.500, 0.500)
Tl (0.000, 0.000, 0.000)
Se (0.000, 0.000, 0.500)

***

First-principles (PBE-GGA) data for an optimized crystal structure of Tb3Sc2Rh3, as listed in Alexandria via LeMat-Bulk.

Computed properties:
SG: Cmcm, No. 63
Formation energy, eV per atom: -0.754

Lattice parameters (Å, degrees): 4.050 6.422 14.504 90.00 90.00 108.38
Sites, in units of the cell vectors:
Tb (0.667, 0.335, 0.250)
Tb (0.051, 0.102, 0.879)
Tb (0.333, 0.665, 0.750)
Tb (0.949, 0.898, 0.379)
Tb (0.949, 0.898, 0.121)
Tb (0.051, 0.102, 0.621)
Rh (0.398, 0.796, 0.546)
Rh (0.602, 0.204, 0.454)
Rh (0.398, 0.796, 0.954)
Rh (0.340, 0.681, 0.250)
Rh (0.602, 0.204, 0.046)
Rh (0.660, 0.319, 0.750)
Sc (0.233, 0.466, 0.080)
Sc (0.767, 0.534, 0.920)
Sc (0.233, 0.466, 0.420)
Sc (0.767, 0.534, 0.580)